{"formula": "Tb5BS4", "functional": "PBE", "state": "relaxed", "sg": "I4/m (87)", "volume_a3_per_cell": 212.7, "raw_formation_energy_ev_per_atom": -1.724, "cell": [[4.977, 0.000, 2.400], [2.488, 6.204, 1.200], [-0.207, 0.000, 6.788]], "species": ["Tb", "Tb", "Tb", "Tb", "Tb", "B", "S", "S", "S", "S"], "fractional_positions": [[0.908, 0.375, 0.812], [0.282, 0.812, 0.625], [0.720, 0.188, 0.375], [0.094, 0.625, 0.188], [0.501, 0.000, 0.000], [0.001, 0.000, 0.000], [0.405, 0.398, 0.794], [0.803, 0.794, 0.602], [0.199, 0.206, 0.398], [0.597, 0.602, 0.206]]}

{"formula": "RbFeSnRu2", "functional": "PBE", "state": "relaxed", "sg": "P4/mmm (123)", "formation_energy_mev_per_atom": 1130, "volume_a3_per_cell": 106.7, "cell": [[4.653, 0.000, 0.000], [0.000, 4.929, 0.000], [0.000, 0.000, 4.653]], "species": ["Ru", "Ru", "Sn", "Rb", "Fe"], "fractional_positions": [[0.000, 0.000, 0.500], [0.500, 0.000, 0.000], [0.000, 0.500, 0.000], [0.500, 0.500, 0.500], [0.000, 0.000, 0.000]]}

{"formula": "Cu2WAu", "functional": "PBE", "state": "relaxed", "sg": "P4/mmm (123)", "formation_energy_mev_per_atom": 194, "volume_a3_per_cell": 58.5, "cell": [[2.744, 0.053, 0.000], [-0.051, 2.744, 0.000], [0.000, 0.000, 7.772]], "species": ["Au", "Cu", "Cu", "W"], "fractional_positions": [[0.500, 0.500, 0.750], [0.000, 0.000, 0.006], [0.000, 0.000, 0.494], [0.500, 0.500, 0.250]]}